A relaxed CaCoOs crystal. Source: Alexandria, functional PBE.

Cell: 5.7505 5.7505 6.9519 Å, 124.12 124.12 40.09°
Fractional positions:
Ca 0.0000 0.0000 0.0000
Ca 0.1624 0.1624 0.5928
Co 0.7035 0.7035 0.9703
Co 0.8269 0.8269 0.4014
Os 0.3314 0.3314 0.1779
Os 0.4602 0.4602 0.6175

Properties
For the density, the calculation gives 8.088 g/cm3. The value obtained for the calculated formation energy is 0.232 eV/atom. As for the energy relative to the lowest polymorph listed for this composition: 135.2 meV/atom.

A relaxed CaCo3Os crystal. Source: Alexandria, functional PBE.

Cell: 4.5481 4.5481 4.5481 Å, 90.00 90.00 90.00°
Fractional positions:
Ca 0.0000 0.0000 0.0000
Co 0.0000 0.5000 0.5000
Co 0.5000 0.0000 0.5000
Co 0.5000 0.5000 0.0000
Os 0.5000 0.5000 0.5000

Properties
For the density, the calculation gives 7.186 g/cm3. The value obtained for the calculated formation energy is 0.839 eV/atom. As for the energy relative to the lowest polymorph listed for this composition: 0.0 meV/atom.

A relaxed CaCoOs crystal. Source: Alexandria, functional PBE.

Cell: 5.6061 5.6061 5.0536 Å, 92.79 92.79 44.27°
Fractional positions:
Ca 0.0000 0.0000 0.0000
Ca 0.5429 0.5429 0.5073
Co 0.2765 0.2765 0.2313
Co 0.7393 0.7393 0.0082
Os 0.2737 0.2737 0.7541
Os 0.8084 0.8084 0.4859

Properties
For the density, the calculation gives 8.677 g/cm3. The value obtained for the calculated formation energy is 0.117 eV/atom. As for the energy relative to the lowest polymorph listed for this composition: 20.1 meV/atom.

A relaxed CaCoOs crystal. Source: Alexandria, functional PBE.

Cell: 5.7247 5.7247 5.7247 Å, 152.42 142.29 47.35°
Fractional positions:
Ca 0.0000 0.0000 0.0000
Co 0.7105 0.7105 0.0000
Os 0.2860 0.2860 0.0000

Properties
For the density, the calculation gives 9.072 g/cm3. The value obtained for the calculated formation energy is 0.318 eV/atom. As for the energy relative to the lowest polymorph listed for this composition: 221.4 meV/atom.

A relaxed CaCoOs crystal. Source: Alexandria, functional PBE.

Cell: 4.2900 4.2900 4.2900 Å, 60.00 60.00 60.00°
Fractional positions:
Ca 0.0000 0.0000 0.0000
Co 0.7500 0.7500 0.7500
Os 0.5000 0.5000 0.5000

Properties
For the density, the calculation gives 8.603 g/cm3. The value obtained for the calculated formation energy is 0.839 eV/atom. As for the energy relative to the lowest polymorph listed for this composition: 741.6 meV/atom.

A relaxed Ca2CoOsPd crystal. Source: Alexandria, functional PBE.

Cell: 5.1624 5.1624 4.3141 Å, 90.00 90.00 90.00°
Fractional positions:
Ca 0.0000 0.5000 0.0000
Ca 0.5000 0.0000 0.0000
Co 0.0000 0.0000 0.0000
Os 0.0000 0.0000 0.5000
Pd 0.5000 0.5000 0.5000

Properties
For the density, the calculation gives 6.293 g/cm3. The value obtained for the calculated formation energy is 0.542 eV/atom.

A relaxed Ca2ZnCoOs crystal. Source: Alexandria, functional PBE.

Cell: 5.0716 5.0716 4.4832 Å, 90.00 90.00 90.00°
Fractional positions:
Ca 0.0000 0.5000 0.0000
Ca 0.5000 0.0000 0.0000
Zn 0.0000 0.0000 0.5000
Co 0.0000 0.0000 0.0000
Os 0.5000 0.5000 0.5000

Properties
For the density, the calculation gives 5.684 g/cm3. The value obtained for the calculated formation energy is 0.975 eV/atom.

A relaxed CaCo3P crystal. Source: Alexandria, functional PBE.

Cell: 4.4675 4.4675 4.4675 Å, 90.00 90.00 90.00°
Fractional positions:
Ca 0.0000 0.0000 0.0000
Co 0.0000 0.0000 0.5000
Co 0.0000 0.5000 0.0000
Co 0.5000 0.0000 0.0000
P 0.5000 0.5000 0.5000

Properties
For the density, the calculation gives 4.616 g/cm3. The value obtained for the calculated formation energy is 2.044 eV/atom. As for the energy relative to the lowest polymorph listed for this composition: 2139.2 meV/atom.

A relaxed CaCoP3 crystal. Source: Alexandria, functional PBE.

Cell: 4.4976 4.4976 4.4976 Å, 90.00 90.00 90.00°
Fractional positions:
Ca 0.0000 0.0000 0.0000
Co 0.5000 0.5000 0.5000
P 0.0000 0.5000 0.5000
P 0.5000 0.0000 0.5000
P 0.5000 0.5000 0.0000

Properties
For the density, the calculation gives 3.503 g/cm3. The value obtained for the calculated formation energy is -0.033 eV/atom.

A relaxed Ca2CoP2 crystal. Source: Alexandria, functional PBE.

Cell: 5.2774 5.2774 5.2774 Å, 114.65 114.65 99.55°
Fractional positions:
Ca 0.2500 0.7500 0.5000
Ca 0.7500 0.2500 0.5000
Co 0.0000 0.0000 0.0000
P 0.3193 0.3193 0.0000
P 0.6807 0.6807 0.0000

Properties
For the density, the calculation gives 3.017 g/cm3. The value obtained for the calculated formation energy is -0.314 eV/atom.

A relaxed CaCo2P2 crystal. Source: Alexandria, functional PBE.

Cell: 7.0064 7.0064 2.8266 Å, 90.00 90.00 90.00°
Fractional positions:
Ca 0.0000 0.0000 0.0000
Ca 0.5000 0.5000 0.0000
Co 0.1232 0.3768 0.0000
Co 0.3768 0.8768 0.0000
Co 0.6232 0.1232 0.0000
Co 0.8768 0.6232 0.0000
P 0.1452 0.6452 0.5000
P 0.3548 0.1452 0.5000
P 0.6452 0.8548 0.5000
P 0.8548 0.3548 0.5000

Properties
For the density, the calculation gives 5.263 g/cm3. The value obtained for the calculated formation energy is -0.254 eV/atom.

A relaxed CaCo2P2 crystal. Source: Alexandria, functional PBE.

Cell: 5.4993 5.4993 5.4993 Å, 138.96 138.96 59.44°
Fractional positions:
Ca 0.0000 0.0000 0.0000
Co 0.2500 0.7500 0.5000
Co 0.7500 0.2500 0.5000
P 0.3689 0.3689 0.0000
P 0.6311 0.6311 0.0000

Properties
For the density, the calculation gives 5.143 g/cm3. The value obtained for the calculated formation energy is -0.854 eV/atom.

A relaxed Ca2Co3P4 crystal. Source: Alexandria, functional PBE.

Cell: 7.6651 6.6618 5.3228 Å, 78.65 58.44 42.91°
Fractional positions:
Ca 0.1455 0.1455 0.8545
Ca 0.8545 0.8545 0.1455
Co 0.0000 0.0000 0.5000
Co 0.5000 0.5000 0.0000
Co 0.5000 0.5000 0.5000
P 0.2063 0.5284 0.4716
P 0.4716 0.7937 0.2063
P 0.5284 0.2063 0.7937
P 0.7937 0.4716 0.5284

Properties
For the density, the calculation gives 4.235 g/cm3. The value obtained for the calculated formation energy is -0.645 eV/atom.

A relaxed CaCo3P crystal. Source: Alexandria, functional PBE.

Cell: 4.2608 4.2608 4.2608 Å, 90.00 90.00 90.00°
Fractional positions:
Ca 0.0000 0.0000 0.0000
Co 0.0000 0.5000 0.5000
Co 0.5000 0.0000 0.5000
Co 0.5000 0.5000 0.0000
P 0.5000 0.5000 0.5000

Properties
For the density, the calculation gives 5.321 g/cm3. The value obtained for the calculated formation energy is -0.096 eV/atom. As for the energy relative to the lowest polymorph listed for this composition: 0.0 meV/atom.

A relaxed Ca2Co5P4 crystal. Source: Alexandria, functional PBE.

Cell: 7.9408 6.8737 5.4186 Å, 79.52 58.34 42.14°
Fractional positions:
Ca 0.1362 0.1362 0.8638
Ca 0.8638 0.8638 0.1362
Co 0.0000 0.0000 0.5000
Co 0.2500 0.2500 0.2500
Co 0.5000 0.5000 0.0000
Co 0.5000 0.5000 0.5000
Co 0.7500 0.7500 0.7500
P 0.2134 0.5297 0.4703
P 0.4703 0.7866 0.2134
P 0.5297 0.2134 0.7866
P 0.7866 0.4703 0.5297

Properties
For the density, the calculation gives 5.261 g/cm3. The value obtained for the calculated formation energy is -0.690 eV/atom.

A relaxed Ca2Co12P7 crystal. Source: Alexandria, functional PBE.

Cell: 9.0317 9.0317 3.5548 Å, 90.00 90.00 120.00°
Fractional positions:
Ca 0.0000 0.0000 0.0000
Ca 0.3333 0.6667 0.5000
Co 0.0495 0.7681 0.5000
Co 0.1011 0.3916 0.0000
Co 0.2319 0.2814 0.5000
Co 0.2905 0.8989 0.0000
Co 0.3951 0.2142 0.0000
Co 0.5346 0.0976 0.5000
Co 0.5630 0.4654 0.5000
Co 0.6084 0.7095 0.0000
Co 0.7186 0.9505 0.5000
Co 0.7858 0.1809 0.0000
Co 0.8191 0.6049 0.0000
Co 0.9024 0.4370 0.5000
P 0.0714 0.6256 0.0000
P 0.2653 0.0419 0.5000
P 0.3744 0.4459 0.0000
P 0.5541 0.9286 0.0000
P 0.6667 0.3333 0.0000
P 0.7766 0.7347 0.5000
P 0.9581 0.2234 0.5000

Properties
For the density, the calculation gives 6.640 g/cm3. The value obtained for the calculated formation energy is -0.703 eV/atom.

A relaxed CaCo5P3 crystal. Source: Alexandria, functional PBE.

Cell: 6.0036 6.0036 11.3278 Å, 90.00 90.00 145.24°
Fractional positions:
Ca 0.1606 0.8394 0.7500
Ca 0.8394 0.1606 0.2500
Co 0.0000 0.0000 0.0000
Co 0.0000 0.0000 0.5000
Co 0.1978 0.8022 0.0677
Co 0.1978 0.8022 0.4323
Co 0.4457 0.5543 0.6427
Co 0.4457 0.5543 0.8573
Co 0.5543 0.4457 0.1427
Co 0.5543 0.4457 0.3573
Co 0.8022 0.1978 0.5677
Co 0.8022 0.1978 0.9323
P 0.1082 0.8918 0.2500
P 0.3823 0.6177 0.0403
P 0.3823 0.6177 0.4597
P 0.6177 0.3823 0.5403
P 0.6177 0.3823 0.9597
P 0.8918 0.1082 0.7500

Properties
For the density, the calculation gives 6.102 g/cm3. The value obtained for the calculated formation energy is -0.683 eV/atom.

A relaxed CaCo4P4 crystal. Source: Alexandria, functional PBE.

Cell: 5.7823 5.7823 5.7823 Å, 98.28 98.28 135.40°
Fractional positions:
Ca 0.0000 0.0000 0.0000
Co 0.1144 0.6210 0.7355
Co 0.3790 0.1144 0.4934
Co 0.6210 0.8856 0.5066
Co 0.8856 0.3790 0.2645
P 0.1895 0.3380 0.5276
P 0.3380 0.8105 0.1485
P 0.6620 0.1895 0.8515
P 0.8105 0.6620 0.4724

Properties
For the density, the calculation gives 5.285 g/cm3. The value obtained for the calculated formation energy is -0.590 eV/atom.

A relaxed Ca3CoP crystal. Source: Alexandria, functional PBE.

Cell: 5.4261 5.4261 5.4261 Å, 90.00 90.00 90.00°
Fractional positions:
Ca 0.0000 0.0000 0.5000
Ca 0.0000 0.5000 0.0000
Ca 0.5000 0.0000 0.0000
Co 0.5000 0.5000 0.5000
P 0.0000 0.0000 0.0000

Properties
For the density, the calculation gives 2.184 g/cm3. The value obtained for the calculated formation energy is -0.008 eV/atom. As for the energy relative to the lowest polymorph listed for this composition: 0.0 meV/atom.

A relaxed Ca2CoP2 crystal. Source: Alexandria, functional PBE.

Cell: 6.2982 6.2982 4.4512 Å, 90.00 90.00 90.00°
Fractional positions:
Ca 0.1746 0.3254 0.0000
Ca 0.3254 0.8254 0.0000
Ca 0.6746 0.1746 0.0000
Ca 0.8254 0.6746 0.0000
Co 0.0000 0.0000 0.5000
Co 0.5000 0.5000 0.5000
P 0.1361 0.6361 0.5000
P 0.3639 0.1361 0.5000
P 0.6361 0.8639 0.5000
P 0.8639 0.3639 0.5000

Properties
For the density, the calculation gives 3.781 g/cm3. The value obtained for the calculated formation energy is -0.641 eV/atom.